A geometry-optimized TlReTeN2 structure, computed with PBE-GGA.

Lattice parameters (Å, degrees): 4.0153 4.0153 5.7243 90.00 90.00 90.00
Closest atoms and distances in Å follow each position.
Fractional coordinates of all 5 atoms:
Re 0.0000 0.0000 0.0000  4 N 2.01
N 0.0000 0.5000 0.0000  2 Re 2.01
N 0.5000 0.0000 0.0000  2 Re 2.01
Te 0.0000 0.0000 0.5000  4 Tl 2.84, 2 Re 2.86
Tl 0.5000 0.5000 0.5000  4 Te 2.84

Output
M_tot in μB/atom: 0.000
Crystal system: tetragonal
Density in g cm⁻³: 9.8
VASP energy in eV/atom: -6.33
Space group: No. 123
E above lowest polymorph in meV/atom: 0
ΔE_f (raw) in eV/atom: 0.60